1.
Entry from the Open Quantum Materials Database: ErTm2SbO6 after structural relaxation (PBE).

Structure (POSCAR):
```
ErTm2SbO6
1.0
3.4735 0.0000 0.0000
0.1309 5.5661 0.0000
1.6080 0.1015 6.9087
Er Tm Sb O
1 2 1 6
direct
0.0000 0.0000 0.0000
0.3872 0.5125 0.2521
0.6045 0.4557 0.7385
0.7969 0.9612 0.5253
0.1206 0.1882 0.7058
0.1866 0.6490 0.5759
0.4790 0.2513 0.0182
0.5306 0.7385 0.9492
0.8465 0.2766 0.3577
0.8764 0.7748 0.2671
```

***

2.
Entry from the Open Quantum Materials Database: Er2ScO3 after structural relaxation (PBE).

Structure (POSCAR):
```
Er2ScO3
1.0
3.2742 0.0000 0.0000
-1.6371 2.8356 0.0000
0.0000 0.0000 8.0863
Er Sc O
2 1 3
direct
0.3333 0.6667 0.1738
0.6667 0.3333 0.8262
0.0000 0.0000 0.5000
0.0000 0.0000 0.0000
0.3333 0.6667 0.6491
0.6667 0.3333 0.3509
```

***

Number 1: electronic total energy -7.691 eV/atom. Number 2: electronic total energy -7.857 eV/atom.